No. 1
# PBE Zr2Ga5IrRh2, optimized geometry
# E	-6.098	eV per atom
# crystal system	tetragonal
# magnetization	0.0	μB per cell
# DFT formation energy	-11.9	kcal/mol of atoms
data_Zr2Ga5IrRh2
_space_group_name_H-M_alt 'P 1'
_space_group_IT_number 1
_cell_length_a 9.121
_cell_length_b 9.121
_cell_length_c 3.994
_cell_angle_alpha 90.00
_cell_angle_beta 90.00
_cell_angle_gamma 90.00
loop_
_space_group_symop_operation_xyz
'x,y,z'
loop_
_atom_site_label
_atom_site_fract_x
_atom_site_fract_y
_atom_site_fract_z
Zr1 0.180 0.320 0.000
Zr2 0.320 0.820 0.000
Zr3 0.680 0.180 0.000
Zr4 0.820 0.680 0.000
Ga1 0.000 0.500 0.500
Ga2 0.059 0.802 0.500
Ga3 0.198 0.059 0.500
Ga4 0.302 0.559 0.500
Ga5 0.441 0.302 0.500
Ga6 0.500 0.000 0.500
Ga7 0.559 0.698 0.500
Ga8 0.698 0.441 0.500
Ga9 0.802 0.941 0.500
Ga10 0.941 0.198 0.500
Ir1 0.000 0.000 0.000
Ir2 0.500 0.500 0.000
Rh1 0.118 0.618 0.000
Rh2 0.382 0.118 0.000
Rh3 0.618 0.882 0.000
Rh4 0.882 0.382 0.000

***

No. 2
# PBE SrCd2SiAu4, optimized geometry
# E	-2.978	eV per atom
# crystal system	trigonal
# E_form (uncorrected)	-223	meV/atom
# magnetization	0.0	μB per cell
data_SrCd2SiAu4
_space_group_name_H-M_alt 'P 1'
_space_group_IT_number 1
_cell_length_a 9.807
_cell_length_b 9.807
_cell_length_c 9.807
_cell_angle_alpha 27.45
_cell_angle_beta 27.45
_cell_angle_gamma 27.45
loop_
_space_group_symop_operation_xyz
'x,y,z'
loop_
_atom_site_label
_atom_site_fract_x
_atom_site_fract_y
_atom_site_fract_z
Sr1 0.000 0.000 0.000
Cd1 0.248 0.248 0.248
Cd2 0.752 0.752 0.752
Si1 0.500 0.500 0.500
Au1 0.141 0.141 0.141
Au2 0.403 0.403 0.403
Au3 0.597 0.597 0.597
Au4 0.859 0.859 0.859

***

No. 3
# PBE Ce3YSi4, optimized geometry
# E	-6.259	eV per atom
# crystal system	orthorhombic
# E_form (uncorrected)	-514	meV/atom
# magnetization	2.4	μB per cell
data_Ce3YSi4
_space_group_name_H-M_alt 'P 1'
_space_group_IT_number 1
_cell_length_a 4.037
_cell_length_b 6.337
_cell_length_c 15.777
_cell_angle_alpha 90.00
_cell_angle_beta 90.00
_cell_angle_gamma 90.00
loop_
_space_group_symop_operation_xyz
'x,y,z'
loop_
_atom_site_label
_atom_site_fract_x
_atom_site_fract_y
_atom_site_fract_z
Ce1 0.000 0.000 0.000
Ce2 0.000 0.500 0.195
Ce3 0.000 0.500 0.805
Ce4 0.500 0.000 0.305
Ce5 0.500 0.000 0.695
Ce6 0.500 0.500 0.500
Y1 0.000 0.000 0.500
Y2 0.500 0.500 0.000
Si1 0.000 0.313 0.370
Si2 0.000 0.313 0.630
Si3 0.000 0.687 0.370
Si4 0.000 0.687 0.630
Si5 0.500 0.187 0.130
Si6 0.500 0.187 0.870
Si7 0.500 0.813 0.130
Si8 0.500 0.813 0.870

***

No. 4
# PBE La2CrRh2, optimized geometry
# E	-6.972	eV per atom
# crystal system	tetragonal
# magnetization	0.0	μB per cell
# DFT formation energy	-3.1	kcal/mol of atoms
data_La2CrRh2
_space_group_name_H-M_alt 'P 1'
_space_group_IT_number 1
_cell_length_a 6.747
_cell_length_b 6.747
_cell_length_c 4.687
_cell_angle_alpha 90.00
_cell_angle_beta 90.00
_cell_angle_gamma 90.00
loop_
_space_group_symop_operation_xyz
'x,y,z'
loop_
_atom_site_label
_atom_site_fract_x
_atom_site_fract_y
_atom_site_fract_z
La1 0.174 0.326 0.000
La2 0.326 0.826 0.000
La3 0.674 0.174 0.000
La4 0.826 0.674 0.000
Cr1 0.000 0.000 0.500
Cr2 0.500 0.500 0.500
Rh1 0.150 0.650 0.500
Rh2 0.350 0.150 0.500
Rh3 0.650 0.850 0.500
Rh4 0.850 0.350 0.500

***

No. 5
# PBE Y2Ge3Ir2, optimized geometry
# E	-7.060	eV per atom
# crystal system	monoclinic
# magnetization	0.0	μB per cell
# DFT formation energy	-16.2	kcal/mol of atoms
data_Y2Ge3Ir2
_space_group_name_H-M_alt 'P 1'
_space_group_IT_number 1
_cell_length_a 10.183
_cell_length_b 4.222
_cell_length_c 6.783
_cell_angle_alpha 90.00
_cell_angle_beta 114.37
_cell_angle_gamma 90.00
loop_
_space_group_symop_operation_xyz
'x,y,z'
loop_
_atom_site_label
_atom_site_fract_x
_atom_site_fract_y
_atom_site_fract_z
Y1 0.153 0.000 0.279
Y2 0.347 0.500 0.721
Y3 0.653 0.500 0.279
Y4 0.847 0.000 0.721
Ge1 0.000 0.500 0.500
Ge2 0.120 0.500 0.946
Ge3 0.380 0.000 0.054
Ge4 0.500 0.000 0.500
Ge5 0.620 0.000 0.946
Ge6 0.880 0.500 0.054
Ir1 0.136 0.000 0.720
Ir2 0.364 0.500 0.280
Ir3 0.636 0.500 0.720
Ir4 0.864 0.000 0.280

***

No. 6
# PBE ScNiSn, optimized geometry
# E	-5.963	eV per atom
# crystal system	orthorhombic
# magnetization	0.0	μB per cell
# DFT formation energy	-13.6	kcal/mol of atoms
data_ScNiSn
_space_group_name_H-M_alt 'P 1'
_space_group_IT_number 1
_cell_length_a 12.697
_cell_length_b 3.539
_cell_length_c 7.317
_cell_angle_alpha 90.00
_cell_angle_beta 90.00
_cell_angle_gamma 90.00
loop_
_space_group_symop_operation_xyz
'x,y,z'
loop_
_atom_site_label
_atom_site_fract_x
_atom_site_fract_y
_atom_site_fract_z
Sc1 0.051 0.000 0.206
Sc2 0.250 0.000 0.830
Sc3 0.449 0.000 0.206
Sc4 0.551 0.000 0.794
Sc5 0.750 0.000 0.170
Sc6 0.949 0.000 0.794
Ni1 0.091 0.500 0.929
Ni2 0.250 0.000 0.431
Ni3 0.409 0.500 0.929
Ni4 0.591 0.500 0.071
Ni5 0.750 0.000 0.569
Ni6 0.909 0.500 0.071
Sn1 0.115 0.500 0.569
Sn2 0.250 0.500 0.163
Sn3 0.385 0.500 0.569
Sn4 0.615 0.500 0.431
Sn5 0.750 0.500 0.837
Sn6 0.885 0.500 0.431

***

- What is the E in the third record?
  -6.259 eV per atom

***

- magnetization of number 2 (SrCd2SiAu4)?
  0.0 μB per cell

***

- Among the records above, which one has the lowest E?
  Y2Ge3Ir2

***

- Number 4 is which compound?
  La2CrRh2